Entry 1:
Material: Ac2ZnInGe
Method: DFT, PBE
State: optimized geometry

As for the density of states at the Fermi level: 0.797 states/eV/atom. Its calculated total energy is -3.844 eV per atom. Its energy of formation from the pure elements is -0.475 eV/atom. The space-group type is P2_1/m (11).

Structure (CIF):
```
data_Ac2ZnInGe
_chemical_formula_sum 'Ac4 Zn2 In2 Ge2'
_symmetry_space_group_name_H-M 'P 1'
_symmetry_Int_Tables_number 1
_cell_length_a 6.921
_cell_length_b 4.863
_cell_length_c 9.369
_cell_angle_alpha 90.00
_cell_angle_beta 94.74
_cell_angle_gamma 90.00
loop_
_symmetry_equiv_pos_as_xyz
'x,y,z'
loop_
_atom_site_label
_atom_site_type_symbol
_atom_site_fract_x
_atom_site_fract_y
_atom_site_fract_z
Ac1 Ac 0.194 0.250 0.361
Ac2 Ac 0.248 0.250 0.911
Ac3 Ac 0.752 0.750 0.089
Ac4 Ac 0.806 0.750 0.639
Zn1 Zn 0.492 0.750 0.361
Zn2 Zn 0.508 0.250 0.639
In1 In 0.297 0.750 0.631
In2 In 0.703 0.250 0.369
Ge1 Ge 0.246 0.750 0.135
Ge2 Ge 0.754 0.250 0.865
```

---

Entry 2:
Material: Ag2PdAu
Method: DFT, PBE
State: optimized geometry

As for the density of states at the Fermi level: 0.232 states/eV/atom. The calculation puts the excess energy over the best structure of this formula in the dataset at 0 kJ/mol of formula units. Its calculated total energy is -3.623 eV per atom. Its energy of formation from the pure elements is -0.079 eV/atom. The space-group type is P4/mmm (123).

Structure (CIF):
```
data_Ag2PdAu
_chemical_formula_sum 'Ag2 Pd1 Au1'
_symmetry_space_group_name_H-M 'P 1'
_symmetry_Int_Tables_number 1
_cell_length_a 4.079
_cell_length_b 4.079
_cell_length_c 4.138
_cell_angle_alpha 90.00
_cell_angle_beta 90.00
_cell_angle_gamma 90.00
loop_
_symmetry_equiv_pos_as_xyz
'x,y,z'
loop_
_atom_site_label
_atom_site_type_symbol
_atom_site_fract_x
_atom_site_fract_y
_atom_site_fract_z
Ag1 Ag 0.000 0.500 0.000
Ag2 Ag 0.500 0.000 0.000
Pd1 Pd 0.000 0.000 0.500
Au1 Au 0.500 0.500 0.500
```

---

Entry 3:
Material: MnIn2Ir
Method: DFT, PBE
State: optimized geometry

As for the density of states at the Fermi level: 0.700 states/eV/atom. Its calculated total energy is -5.646 eV per atom. Its energy of formation from the pure elements is 0.231 eV/atom. The space-group type is R-3m (166).

Structure (CIF):
```
data_MnIn2Ir
_chemical_formula_sum 'Mn1 In2 Ir1'
_symmetry_space_group_name_H-M 'P 1'
_symmetry_Int_Tables_number 1
_cell_length_a 8.969
_cell_length_b 8.969
_cell_length_c 8.969
_cell_angle_alpha 19.82
_cell_angle_beta 19.82
_cell_angle_gamma 19.82
loop_
_symmetry_equiv_pos_as_xyz
'x,y,z'
loop_
_atom_site_label
_atom_site_type_symbol
_atom_site_fract_x
_atom_site_fract_y
_atom_site_fract_z
Mn1 Mn 0.000 0.000 0.000
In1 In 0.248 0.248 0.248
In2 In 0.752 0.752 0.752
Ir1 Ir 0.500 0.500 0.500
```

---

Entry 4:
Material: BaCd2AuI
Method: DFT, PBE
State: optimized geometry

As for the density of states at the Fermi level: 0.309 states/eV/atom. Its calculated total energy is -2.323 eV per atom. For the uncorrected formation energy, the calculation gives -606 meV/atom. The space-group type is P4/mmm (123).

Structure (CIF):
```
data_BaCd2AuI
_chemical_formula_sum 'Ba1 Cd2 Au1 I1'
_symmetry_space_group_name_H-M 'P 1'
_symmetry_Int_Tables_number 1
_cell_length_a 5.355
_cell_length_b 5.355
_cell_length_c 6.390
_cell_angle_alpha 90.00
_cell_angle_beta 90.00
_cell_angle_gamma 90.00
loop_
_symmetry_equiv_pos_as_xyz
'x,y,z'
loop_
_atom_site_label
_atom_site_type_symbol
_atom_site_fract_x
_atom_site_fract_y
_atom_site_fract_z
Ba1 Ba 0.000 0.000 0.000
Cd1 Cd 0.000 0.500 0.500
Cd2 Cd 0.500 0.000 0.500
Au1 Au 0.000 0.000 0.500
I1 I 0.500 0.500 0.000
```

---

Entry 5:
Material: ReSiP2Cl
Method: DFT, PBE
State: optimized geometry

As for the density of states at the Fermi level: 0.538 states/eV/atom. The calculation puts the excess energy over the best structure of this formula in the dataset at 222 kJ/mol of formula units. Its calculated total energy is -4.884 eV per atom. For the uncorrected formation energy, the calculation gives 1224 meV/atom. The space-group type is P4/mmm (123).

Structure (CIF):
```
data_ReSiP2Cl
_chemical_formula_sum 'Re1 Si1 P2 Cl1'
_symmetry_space_group_name_H-M 'P 1'
_symmetry_Int_Tables_number 1
_cell_length_a 4.578
_cell_length_b 4.578
_cell_length_c 4.329
_cell_angle_alpha 90.00
_cell_angle_beta 90.00
_cell_angle_gamma 90.00
loop_
_symmetry_equiv_pos_as_xyz
'x,y,z'
loop_
_atom_site_label
_atom_site_type_symbol
_atom_site_fract_x
_atom_site_fract_y
_atom_site_fract_z
Re1 Re 0.000 0.000 0.000
Si1 Si 0.500 0.500 0.500
P1 P 0.000 0.500 0.500
P2 P 0.500 0.000 0.500
Cl1 Cl 0.500 0.500 0.000
```

---

Entry 6:
Material: Ga2Cu7Au
Method: DFT, PBE
State: optimized geometry

As for the density of states at the Fermi level: 0.374 states/eV/atom. Its calculated total energy is -3.551 eV per atom. Its energy of formation from the pure elements is 0.250 eV/atom. The space-group type is Cmmm (65).

Structure (CIF):
```
data_Ga2Cu7Au
_chemical_formula_sum 'Ga2 Cu7 Au1'
_symmetry_space_group_name_H-M 'P 1'
_symmetry_Int_Tables_number 1
_cell_length_a 7.210
_cell_length_b 7.210
_cell_length_c 3.990
_cell_angle_alpha 90.00
_cell_angle_beta 90.00
_cell_angle_gamma 125.52
loop_
_symmetry_equiv_pos_as_xyz
'x,y,z'
loop_
_atom_site_label
_atom_site_type_symbol
_atom_site_fract_x
_atom_site_fract_y
_atom_site_fract_z
Ga1 Ga 0.198 0.802 0.000
Ga2 Ga 0.802 0.198 0.000
Cu1 Cu 0.000 0.000 0.000
Cu2 Cu 0.212 0.423 0.000
Cu3 Cu 0.303 0.697 0.500
Cu4 Cu 0.423 0.212 0.000
Cu5 Cu 0.577 0.788 0.000
Cu6 Cu 0.697 0.303 0.500
Cu7 Cu 0.788 0.577 0.000
Au1 Au 0.500 0.500 0.500
```

---

Entry 7:
Material: BaAl3
Method: DFT, PBE
State: optimized geometry

As for the density of states at the Fermi level: 0.354 states/eV/atom. Its calculated total energy is -3.337 eV per atom. Its energy of formation from the pure elements is -0.049 eV/atom. The space-group type is Pmmm (47).

Structure (CIF):
```
data_BaAl3
_chemical_formula_sum 'Ba1 Al3'
_symmetry_space_group_name_H-M 'P 1'
_symmetry_Int_Tables_number 1
_cell_length_a 3.345
_cell_length_b 3.859
_cell_length_c 7.613
_cell_angle_alpha 90.00
_cell_angle_beta 90.00
_cell_angle_gamma 90.00
loop_
_symmetry_equiv_pos_as_xyz
'x,y,z'
loop_
_atom_site_label
_atom_site_type_symbol
_atom_site_fract_x
_atom_site_fract_y
_atom_site_fract_z
Ba1 Ba 0.000 0.000 0.000
Al1 Al 0.000 0.000 0.500
Al2 Al 0.500 0.500 0.323
Al3 Al 0.500 0.500 0.677
```

---

Entry 8:
Material: Pd6PtAu
Method: DFT, PBE
State: optimized geometry

As for the density of states at the Fermi level: 2.084 states/eV/atom. The calculation puts the excess energy over the best structure of this formula in the dataset at 0 kJ/mol of formula units. Its calculated total energy is -5.088 eV per atom. Its energy of formation from the pure elements is -0.029 eV/atom. The space-group type is P4/mmm (123).

Structure (CIF):
```
data_Pd6PtAu
_chemical_formula_sum 'Pd6 Pt1 Au1'
_symmetry_space_group_name_H-M 'P 1'
_symmetry_Int_Tables_number 1
_cell_length_a 3.982
_cell_length_b 3.982
_cell_length_c 7.934
_cell_angle_alpha 90.00
_cell_angle_beta 90.00
_cell_angle_gamma 90.00
loop_
_symmetry_equiv_pos_as_xyz
'x,y,z'
loop_
_atom_site_label
_atom_site_type_symbol
_atom_site_fract_x
_atom_site_fract_y
_atom_site_fract_z
Pd1 Pd 0.000 0.000 0.000
Pd2 Pd 0.000 0.000 0.500
Pd3 Pd 0.000 0.500 0.246
Pd4 Pd 0.000 0.500 0.754
Pd5 Pd 0.500 0.000 0.246
Pd6 Pd 0.500 0.000 0.754
Pt1 Pt 0.500 0.500 0.000
Au1 Au 0.500 0.500 0.500
```

---

Entry 9:
Material: SrYN3
Method: DFT, PBE
State: optimized geometry

As for the density of states at the Fermi level: 0.582 states/eV/atom. Its calculated total energy is -6.359 eV per atom. For the uncorrected formation energy, the calculation gives 265 meV/atom. The space-group type is Pm-3m (221).

Structure (CIF):
```
data_SrYN3
_chemical_formula_sum 'Sr1 Y1 N3'
_symmetry_space_group_name_H-M 'P 1'
_symmetry_Int_Tables_number 1
_cell_length_a 4.459
_cell_length_b 4.459
_cell_length_c 4.459
_cell_angle_alpha 90.00
_cell_angle_beta 90.00
_cell_angle_gamma 90.00
loop_
_symmetry_equiv_pos_as_xyz
'x,y,z'
loop_
_atom_site_label
_atom_site_type_symbol
_atom_site_fract_x
_atom_site_fract_y
_atom_site_fract_z
Sr1 Sr 0.000 0.000 0.000
Y1 Y 0.500 0.500 0.500
N1 N 0.000 0.500 0.500
N2 N 0.500 0.000 0.500
N3 N 0.500 0.500 0.000
```

---

Entry 10:
Material: AcSm5Y2Ho
Method: DFT, PBE
State: optimized geometry

As for the density of states at the Fermi level: 1.553 states/eV/atom. Its calculated total energy is -4.937 eV per atom. Its energy of formation from the pure elements is 0.086 eV/atom. The space-group type is Cmc2_1 (36).

Structure (CIF):
```
data_AcSm5Y2Ho
_chemical_formula_sum 'Ac2 Sm10 Y4 Ho2'
_symmetry_space_group_name_H-M 'P 1'
_symmetry_Int_Tables_number 1
_cell_length_a 9.225
_cell_length_b 9.225
_cell_length_c 12.135
_cell_angle_alpha 90.00
_cell_angle_beta 90.00
_cell_angle_gamma 143.25
loop_
_symmetry_equiv_pos_as_xyz
'x,y,z'
loop_
_atom_site_label
_atom_site_type_symbol
_atom_site_fract_x
_atom_site_fract_y
_atom_site_fract_z
Ac1 Ac 0.114 0.886 0.500
Ac2 Ac 0.886 0.114 0.000
Sm1 Sm 0.079 0.921 0.838
Sm2 Sm 0.080 0.920 0.163
Sm3 Sm 0.267 0.733 0.295
Sm4 Sm 0.268 0.732 0.705
Sm5 Sm 0.439 0.561 0.148
Sm6 Sm 0.561 0.439 0.648
Sm7 Sm 0.732 0.268 0.205
Sm8 Sm 0.733 0.267 0.795
Sm9 Sm 0.920 0.080 0.663
Sm10 Sm 0.921 0.079 0.338
Y1 Y 0.386 0.614 0.499
Y2 Y 0.438 0.562 0.851
Y3 Y 0.562 0.438 0.351
Y4 Y 0.614 0.386 0.999
Ho1 Ho 0.249 0.751 0.000
Ho2 Ho 0.751 0.249 0.500
```